First-principles (PBE) data for Cs2BiTe after structural relaxation, as listed in Alexandria via LeMat-Bulk.

```
Cs2BiTe
1.0
-13.188 -1.249 0.918
1.534 -11.640 6.204
-5.776 -4.984 6.288
Cs Te Bi
4 2 2
Direct
0.474 0.125 0.250
0.276 0.625 0.250
0.375 0.526 0.750
0.875 0.724 0.750
0.500 0.500 0.000
0.250 0.750 0.500
0.000 0.000 0.000
0.750 0.250 0.500
```

Values from the calculation:
E (eV for the cell shown): -20.62
Formation energy (no corrections) (eV/atom): -0.395